Entry 1:
Entry from Alexandria: a relaxed YZrGa crystal (PBE).

a = 9.1721 Å, b = 6.1373 Å, c = 6.2551 Å
α = 90.00°, β = 127.63°, γ = 90.00°
Last column: nearest neighbours and their distance in Å.
Fractional coordinates of all 12 atoms:
Y 0.1941 0.0000 0.0541  4 Ga 3.04-3.05, 1 Y 3.19, 2 Zr 3.30-3.33
Y 0.3059 0.5000 0.9459  4 Ga 3.04-3.05, 1 Y 3.19, 2 Zr 3.30-3.33
Y 0.6941 0.5000 0.0541  4 Ga 3.04-3.05, 1 Y 3.19, 2 Zr 3.30-3.33
Y 0.8059 0.0000 0.9459  4 Ga 3.04-3.05, 1 Y 3.19, 2 Zr 3.30-3.33
Zr 0.1543 0.5000 0.3124  4 Ga 2.92-2.93, 1 Zr 3.13
Zr 0.3457 0.0000 0.6876  4 Ga 2.92-2.93, 1 Zr 3.13
Zr 0.6543 0.0000 0.3124  4 Ga 2.92-2.93, 1 Zr 3.13
Zr 0.8457 0.5000 0.6876  4 Ga 2.92-2.93, 1 Zr 3.13
Ga 0.0000 0.2112 0.5000  1 Ga 2.59
Ga 0.0000 0.7888 0.5000  1 Ga 2.59
Ga 0.5000 0.2888 0.5000  1 Ga 2.59
Ga 0.5000 0.7112 0.5000  1 Ga 2.59

Output
total magnetic moment: 0.00 μB per cell

---

Entry 2:
Entry from Alexandria: a relaxed YZr4Ga4 crystal (PBE).

a = 8.8617 Å, b = 8.8617 Å, c = 5.4727 Å
α = 90.00°, β = 90.00°, γ = 90.00°
Last column: nearest neighbours and their distance in Å.
Fractional coordinates of all 18 atoms:
Y 0.2500 0.2500 0.2500  4 Ga 2.94
Y 0.7500 0.7500 0.7500  4 Ga 2.94
Zr 0.1010 0.6482 0.1314  5 Ga 2.76-2.88
Zr 0.1482 0.8990 0.6314  5 Ga 2.76-2.88
Zr 0.3518 0.6010 0.6314  5 Ga 2.76-2.88
Zr 0.3990 0.8518 0.1314  5 Ga 2.76-2.88
Zr 0.6010 0.1482 0.8686  5 Ga 2.76-2.88
Zr 0.6482 0.3990 0.3686  5 Ga 2.76-2.88
Zr 0.8518 0.1010 0.3686  5 Ga 2.76-2.88
Zr 0.8990 0.3518 0.8686  5 Ga 2.76-2.88
Ga 0.0392 0.6017 0.6433  1 Ga 2.49, 2 Zr 2.76-2.77
Ga 0.1017 0.9608 0.1433  1 Ga 2.49, 2 Zr 2.76-2.77
Ga 0.3983 0.5392 0.1433  1 Ga 2.49, 2 Zr 2.76-2.77
Ga 0.4608 0.8983 0.6433  1 Ga 2.49, 2 Zr 2.76-2.77
Ga 0.5392 0.1017 0.3567  1 Ga 2.49, 2 Zr 2.76-2.77
Ga 0.6017 0.4608 0.8567  1 Ga 2.49, 2 Zr 2.76-2.77
Ga 0.8983 0.0392 0.8567  1 Ga 2.49, 2 Zr 2.76-2.77
Ga 0.9608 0.3983 0.3567  1 Ga 2.49, 2 Zr 2.76-2.77

Output
total magnetic moment: 0.00 μB per cell

---

| no. | calculated total energy (eV/cell) | D(E_F) (states/eV/atom) | ρ (g cm⁻³) |
| --- | --- | --- | --- |
| 1 | -76.59 | 1.11 | 6.0 |
| 2 | -109.94 | 0.96 | 5.7 |